## DyBe4B4 (PBE-GGA)

Data for an optimized crystal structure of DyBe4B4.

Structure (extended XYZ):
```
18
Lattice="-1.446 0.607 4.610 -4.587 -0.976 -1.310 1.064 -6.620 1.206" Properties=species:S:1:pos:R:3 pbc="T T T"
Be 0.338 -4.025 1.815
Be -1.829 -0.815 2.106
Be -3.142 -3.208 -0.563
Be -1.759 -6.089 1.644
Be -2.421 -5.810 3.756
Be -0.656 -2.679 0.147
Be -0.445 -3.696 4.313
Be -3.930 -1.263 1.506
B -2.354 -1.517 0.321
B -3.316 -1.112 3.391
B -3.661 -5.999 2.214
B -0.131 -1.977 1.932
B -2.346 -5.091 -0.065
B -0.614 -1.774 3.472
B -0.607 -5.349 3.086
B -0.813 -4.765 0.373
Dy 0.000 0.000 0.000
Dy -2.485 -3.494 2.253
```

Values from the calculation:
symmetry: No. 137

---

## DyBe3B3 (PBE-GGA)

Data for an optimized crystal structure of DyBe3B3.

Structure (extended XYZ):
```
14
Lattice="-2.810 -1.191 -0.346 1.576 -5.098 4.762 -3.994 9.213 0.707" Properties=species:S:1:pos:R:3 pbc="T T T"
B -1.984 2.033 2.297
B -5.334 5.915 2.499
B -2.358 -1.703 4.564
B 0.106 -2.991 2.624
B -3.244 0.891 2.827
B -2.870 4.627 0.559
Be -1.590 -3.242 3.628
Be -3.061 0.991 0.999
Be -2.166 1.932 4.124
Be -2.131 2.890 0.538
Be -3.097 0.034 4.585
Be -3.638 6.165 1.496
Dy -4.306 3.497 2.476
Dy -0.922 -0.573 2.648
```

Values from the calculation:
symmetry: No. 11

---

## DyBeB (PBE-GGA)

Data for an optimized crystal structure of DyBeB.

Structure (extended XYZ):
```
6
Lattice="3.519 0.000 0.000 1.760 3.048 0.000 1.760 1.016 8.966" Properties=species:S:1:pos:R:3 pbc="T T T"
Be 5.279 3.048 3.879
Be 1.760 1.016 5.087
Dy 3.519 2.032 1.753
Dy 3.519 2.032 7.213
B 1.760 1.016 3.194
B 5.279 3.048 5.772
```

Values from the calculation:
symmetry: No. 166

---

## Dy2BeNi12B3 (PBE-GGA)

Data for an optimized crystal structure of Dy2BeNi12B3.

Structure (extended XYZ):
```
18
Lattice="-3.914 -4.816 -2.387 -3.138 -3.522 4.686 -6.504 1.300 0.476" Properties=species:S:1:pos:R:3 pbc="T T T"
Ni -5.378 -5.580 1.611
Ni -10.391 -4.393 -0.015
Ni -3.164 -2.646 2.790
Ni -6.921 -1.935 3.317
Ni -6.634 -5.104 -0.542
Ni -4.947 -0.092 0.559
Ni -3.575 -3.331 -0.957
Ni -9.980 -3.707 3.732
Ni -7.384 -2.706 -0.899
Ni -8.608 -6.947 2.216
Ni -8.177 -1.459 1.164
Ni -6.171 -4.333 3.674
Be 0.000 0.000 0.000
B -1.569 -1.761 2.343
B -1.957 -2.408 -1.193
B -3.252 0.650 0.238
Dy -8.293 -4.306 1.698
Dy -5.262 -2.732 1.077
```

Values from the calculation:
symmetry: No. 166

---

## DyBe2BOs (PBE-GGA)

Data for an optimized crystal structure of DyBe2BOs.

Structure (extended XYZ):
```
5
Lattice="3.519 0.000 0.000 0.000 3.585 0.000 -1.759 -1.793 5.128" Properties=species:S:1:pos:R:3 pbc="T T T"
B 1.759 1.793 3.256
Dy 0.000 0.000 4.458
Os 0.000 1.793 2.035
Be 0.000 0.000 0.632
Be 1.759 0.000 2.051
```

Values from the calculation:
symmetry: No. 44

---

## DyBeBPt6 (PBE-GGA)

Data for an optimized crystal structure of DyBeBPt6.

Structure (extended XYZ):
```
18
Lattice="6.904 0.000 0.000 0.000 8.180 0.000 -3.452 -4.090 5.417" Properties=species:S:1:pos:R:3 pbc="T T T"
Dy 3.452 2.045 3.667
Dy 0.000 2.045 1.751
Pt 3.452 2.045 0.718
Pt 5.033 4.242 1.377
Pt 5.033 -0.152 1.377
Pt 1.871 4.242 1.377
Pt 1.871 -0.152 1.377
Pt 0.000 2.045 4.699
Pt -1.581 4.242 4.040
Pt 0.000 6.135 1.222
Pt 1.581 -0.152 4.040
Pt 1.581 4.242 4.040
Pt -1.581 -0.152 4.040
Pt 3.452 -2.045 4.195
Be 1.726 -2.045 2.709
Be -1.726 -2.045 2.709
B 3.452 4.090 0.000
B 3.452 0.000 0.000
```

Values from the calculation:
symmetry: No. 74

---

## Dy3BeB2Pt8 (PBE-GGA)

Data for an optimized crystal structure of Dy3BeB2Pt8.

Structure (extended XYZ):
```
14
Lattice="-3.570 1.001 -3.983 3.641 -4.006 -0.554 -5.970 -5.959 3.853" Properties=species:S:1:pos:R:3 pbc="T T T"
Pt -1.609 -1.110 -2.554
Pt 0.709 -4.920 0.006
Pt -6.609 -4.043 -0.689
Pt -1.096 -4.414 -2.007
Pt -4.768 -6.068 -0.969
Pt -4.804 -4.549 1.324
Pt -1.131 -2.895 0.286
Pt -4.290 -7.853 1.871
B 0.408 -3.165 -1.161
B -6.307 -5.799 0.478
Be -2.985 -2.979 1.927
Dy -3.658 -3.155 -1.231
Dy 0.000 0.000 0.000
Dy -2.241 -5.808 0.548
```

Values from the calculation:
symmetry: No. 164

---

## Dy3BeB2Pt9 (PBE-GGA)

Data for an optimized crystal structure of Dy3BeB2Pt9.

Structure (extended XYZ):
```
15
Lattice="-3.232 0.342 -4.689 0.736 -5.027 2.596 -7.207 1.570 5.083" Properties=species:S:1:pos:R:3 pbc="T T T"
Pt -7.251 -2.006 1.381
Pt -5.973 0.391 2.452
Pt -2.452 -1.108 1.609
Pt 0.368 -2.513 1.298
Pt -1.616 0.171 -2.344
Pt -1.248 -2.342 -1.046
Pt -7.628 0.567 0.052
Pt -2.075 -3.681 2.938
Pt -3.729 -3.506 0.538
Be -3.603 0.785 2.541
Dy -4.777 -0.823 -0.238
Dy 0.000 0.000 0.000
Dy -4.925 -2.292 3.228
B -7.982 -0.125 2.022
B -1.721 -2.990 0.968
```

Values from the calculation:
symmetry: No. 164

---

## DyBe2BRu2 (PBE-GGA)

Data for an optimized crystal structure of DyBe2BRu2.

Structure (extended XYZ):
```
6
Lattice="4.102 0.000 0.000 0.000 4.102 0.000 0.000 0.000 5.056" Properties=species:S:1:pos:R:3 pbc="T T T"
Be 2.051 2.051 3.875
Be 2.051 2.051 1.181
Ru 2.051 0.000 0.000
Ru 0.000 2.051 0.000
Dy 0.000 0.000 2.528
B 0.000 0.000 0.000
```

Values from the calculation:
symmetry: No. 123

---

## DyBeB2Ru (PBE-GGA)

Data for an optimized crystal structure of DyBeB2Ru.

Structure (extended XYZ):
```
5
Lattice="-0.810 2.098 2.650 -3.177 0.456 -1.332 0.289 -5.322 2.023" Properties=species:S:1:pos:R:3 pbc="T T T"
Be -2.441 -1.794 0.675
B -2.453 0.187 1.382
B -1.245 -2.954 1.959
Ru -1.257 -0.973 2.666
Dy 0.000 0.000 0.000
```

Values from the calculation:
symmetry: No. 119

---

## ErBeB (PBE-GGA)

Data for an optimized crystal structure of ErBeB.

Structure (extended XYZ):
```
6
Lattice="3.395 0.000 0.000 0.000 3.409 0.000 -1.698 0.000 7.818" Properties=species:S:1:pos:R:3 pbc="T T T"
Er 0.000 2.556 1.775
Er 1.698 0.852 6.043
Be 1.698 2.556 3.906
Be 0.000 0.852 3.912
B 0.000 2.556 4.959
B 1.698 0.852 2.859
```

Values from the calculation:
symmetry: No. 63
excess energy over the best structure of this formula in the dataset: 0.01 eV per formula unit

---

## ErBe3B3 (PBE-GGA)

Data for an optimized crystal structure of ErBe3B3.

Structure (extended XYZ):
```
14
Lattice="-0.932 0.340 -2.946 -5.178 -5.566 0.997 -1.887 7.299 1.440" Properties=species:S:1:pos:R:3 pbc="T T T"
Be -3.014 0.154 -1.488
Be -3.257 5.243 0.816
Be -1.411 2.122 -0.128
Be -6.586 -0.048 -0.381
Be -4.740 -3.169 -1.325
Be -4.984 1.919 0.979
Er -4.313 -1.193 0.408
Er -3.684 3.266 -0.917
B -4.846 4.106 1.188
B -4.708 0.982 -0.857
B -1.516 4.090 0.132
B -3.290 1.092 0.347
B -3.151 -2.032 -1.697
B -6.481 -2.017 -0.641
```

Values from the calculation:
symmetry: No. 11

---

no.,DFT formation energy (eV/atom),DOS at the Fermi energy (states/eV/cell)
1,-0.14,5.2
2,-0.09,4.2
3,-0.01,1.5
4,-0.09,9.8
5,-0.24,2.8
6,-0.51,8.5
7,-0.79,4.6
8,-0.89,2.8
9,-0.40,3.0
10,-0.33,3.9
11,-0.22,2.1
12,0.05,2.6